Record 1
VASP calculation (GGA+U) on a geometry-optimized PmTlCoO3 structure.

Cell and atoms, written as POSCAR:
```
PmTlCoO3
1.0
3.7891 0.0000 0.0000
-1.8945 6.7154 -0.1724
0.0000 -2.1596 7.9249
Pm Tl Co O
2 2 2 6
Direct
0.6531 0.3062 0.5726
0.3469 0.6938 0.4274
0.3490 0.6980 0.9004
0.6510 0.3020 0.0996
0.9995 0.9990 0.2877
0.0005 0.0010 0.7123
0.8422 0.6845 0.2541
0.8343 0.6686 0.6285
0.5040 0.0080 0.3241
0.1657 0.3314 0.3715
0.4960 0.9920 0.6759
0.1578 0.3155 0.7459
```

Values from the calculation:
The calculation puts the density at 7.57 g/cm3.

Record 2
VASP calculation (GGA+U) on a geometry-optimized SrNiN2O structure.

Cell and atoms, written as POSCAR:
```
SrNiN2O
1.0
-4.2240 0.9689 -2.0112
-1.3168 -4.5570 0.5702
-1.7036 1.0002 4.0597
Sr N O Ni
1 2 1 1
Direct
0.0000 0.0000 0.0000
0.0000 0.5000 0.0000
0.5000 0.0000 0.0000
0.0000 0.0000 0.5000
0.5000 0.5000 0.5000
```

Values from the calculation:
The calculation puts the density at 3.07 g/cm3. The value obtained for the density of states at the Fermi level is 2.1054 states/eV/atom.

Calculated values (eV per cell) of energy for the records, taken in order: -75.673; -15.251.